DFT (PBE with a Hubbard U) results for TmMoIO4 after structural relaxation.

Summary:
Energy = -6.764 eV/atom

a b c (Å): 10.796 7.159 7.080
angles (deg): 90.00 106.67 90.00
Space group C2/m (No. 12)
One atom of each set of equivalent atoms:
Tm  0.245  0.000  0.135 [4 per cell]
Mo  0.135  0.500  0.265 [4 per cell]
I  0.018  0.000  0.753 [4 per cell]
O  0.038  0.500  0.803 [4 per cell]
O  0.195  0.306  0.151 [8 per cell]
O  0.196  0.500  0.527 [4 per cell]